# 1
Compound: CrMoBr
Source: Alexandria
Functional: PBE
Structure: relaxed

Density of states at the Fermi level = 4.796 states/eV per cell
Energy relative to the lowest polymorph listed for this composition = 0.018 eV/atom
Formation energy without anion corrections = 0.13 eV per atom
Calculated volume = 131.4 Å³ per cell

```
CrMoBr
1.0
3.249 0.000 0.000
-0.001 4.269 0.000
-0.131 -1.998 9.478
Cr Mo Br
2 2 2
Cartesian
0.000 0.000 0.000
1.491 0.078 9.430
0.000 2.009 2.109
1.625 -0.002 1.937
1.624 2.848 4.160
3.117 0.729 7.510
```

=====

# 2
Compound: Ac3BiPd8Pb2
Source: Alexandria
Functional: PBE
Structure: relaxed

Density of states at the Fermi level = 6.271 states/eV per cell
Formation enthalpy at 0 K = -0.5651 eV per atom
Calculated volume = 323.3 Å³ per cell

```
Ac3BiPd8Pb2
1.0
5.747 0.000 0.000
-2.873 4.977 0.000
0.000 0.000 11.306
Ac Bi Pd Pb
3 1 8 2
Cartesian
0.000 0.000 0.000
0.000 3.318 6.739
2.873 1.659 4.567
0.000 0.000 5.653
0.000 1.639 3.230
-1.454 4.157 3.230
1.419 0.820 8.076
0.000 3.318 9.654
2.873 1.659 1.652
1.454 4.157 3.230
4.327 0.820 8.076
2.873 3.338 8.076
0.000 3.318 1.097
2.873 1.659 10.209
```

=====

# 3
Compound: PrHoSbS
Source: Alexandria
Functional: PBE
Structure: relaxed

Density of states at the Fermi level = 1.840 states/eV per cell
Formation energy without anion corrections = -1.41 eV per atom
Calculated volume = 110.0 Å³ per cell

```
PrHoSbS
1.0
2.063 1.191 7.464
-2.063 1.191 7.464
0.000 -2.382 7.464
Pr Ho Sb S
1 1 1 1
Cartesian
0.000 0.000 0.000
0.000 0.000 3.612
0.000 0.000 12.895
0.000 0.000 16.895
```

=====

- Which of these has the lowest calculated volume?
  PrHoSbS